# Pa2VF11 | Alexandria | PBE with a Hubbard U | relaxed
# - density (kg/m3) = 4945
# - total DFT energy (no corrections) (eV/atom) = -6.876
# - size of the total moment (μB/cell) = 8.003
data_Pa2VF11
_symmetry_space_group_name_H-M 'P 1'
_symmetry_Int_Tables_number 1
_cell_length_a 8.652
_cell_length_b 8.653
_cell_length_c 8.653
_cell_angle_alpha 72.64
_cell_angle_beta 60.01
_cell_angle_gamma 60.01
loop_
_symmetry_equiv_pos_as_xyz
'x,y,z'
loop_
_atom_site_label
_atom_site_type_symbol
_atom_site_fract_x
_atom_site_fract_y
_atom_site_fract_z
Pa1 Pa 0.868 0.193 0.807
F1 F 0.932 0.789 0.477
F2 F 0.112 0.554 0.736
Pa2 Pa 0.132 0.807 0.193
F3 F 0.803 0.477 0.789
Pa3 Pa 0.368 0.307 0.693
F4 F 0.388 0.764 0.946
F5 F 0.303 0.289 0.977
F6 F 0.145 0.205 0.795
F7 F 0.402 0.264 0.446
F8 F 0.855 0.795 0.205
Pa4 Pa 0.632 0.693 0.307
F9 F 0.432 0.977 0.289
F10 F 0.612 0.236 0.054
F11 F 0.902 0.946 0.764
V1 V 0.750 0.750 0.750
F12 F 0.355 0.705 0.295
F13 F 0.197 0.523 0.211
V2 V 0.250 0.250 0.250
F14 F 0.500 0.500 0.500
F15 F 0.888 0.446 0.264
F16 F 0.598 0.736 0.554
F17 F 0.568 0.023 0.711
F18 F 0.645 0.295 0.705
F19 F 0.068 0.211 0.523
F20 F 0.000 0.000 0.000
F21 F 0.098 0.054 0.236
F22 F 0.697 0.711 0.023